# BaCd3O

BaCd3O after structural relaxation (PBE, Alexandria via LeMat-Bulk).

Cell and atoms, written as POSCAR:
```
BaCd3O
1.0
5.134 0.000 0.000
0.000 5.134 0.000
0.000 0.000 5.134
Ba Cd O
1 3 1
Direct
0.000 0.000 0.000
0.000 0.500 0.500
0.500 0.000 0.500
0.500 0.500 0.000
0.500 0.500 0.500
```

* excess energy over the best structure of this formula in the dataset: 0 meV per atom
* SG: Pm-3m
* energy relative to the elements, uncorrected: -0.64 eV/f.u.

***

# PmB3Ir6

PmB3Ir6 after structural relaxation (PBE, Alexandria via LeMat-Bulk).

Cell and atoms, written as POSCAR:
```
PmB3Ir6
1.0
5.494 0.000 0.000
2.706 4.786 0.000
2.069 1.808 5.283
Pm B Ir
1 3 6
Direct
0.000 0.000 0.000
0.255 0.355 0.041
0.674 0.914 0.485
0.699 0.634 0.042
0.048 0.625 0.661
0.413 0.895 0.308
0.453 0.379 0.301
0.532 0.582 0.781
0.545 0.089 0.784
0.924 0.401 0.355
```

* SG: P1
* formation energy from the elements: -36.8 kJ/mol of atoms

***

# La4Nd3Hg

La4Nd3Hg after structural relaxation (PBE, Alexandria via LeMat-Bulk).

Cell and atoms, written as POSCAR:
```
La4Nd3Hg
1.0
3.774 0.000 0.000
0.000 3.774 0.000
0.000 0.000 19.537
La Nd Hg
4 3 1
Direct
0.000 0.000 0.105
0.000 0.000 0.369
0.000 0.000 0.631
0.000 0.000 0.895
0.500 0.500 0.238
0.500 0.500 0.500
0.500 0.500 0.762
0.500 0.500 0.000
```

* SG: P4/mmm
* formation energy from the elements: -10.6 kJ/mol of atoms

***

# Tb3Er4Sc5

Tb3Er4Sc5 after structural relaxation (PBE, Alexandria via LeMat-Bulk).

Cell and atoms, written as POSCAR:
```
Tb3Er4Sc5
1.0
7.635 -2.832 0.000
7.635 2.832 0.000
-4.592 0.000 8.017
Tb Er Sc
3 4 5
Direct
0.000 0.000 0.000
0.273 0.273 0.739
0.727 0.727 0.261
0.292 0.292 0.119
0.415 0.415 0.557
0.585 0.585 0.443
0.708 0.708 0.881
0.062 0.062 0.700
0.166 0.166 0.363
0.500 0.500 0.000
0.834 0.834 0.637
0.938 0.938 0.300
```

* SG: C2/m
* formation energy from the elements: 23.9 kJ/mol of atoms

***

# Dy5HgIr4

Dy5HgIr4 after structural relaxation (PBE, Alexandria via LeMat-Bulk).

Cell and atoms, written as POSCAR:
```
Dy5HgIr4
1.0
3.474 0.000 0.000
0.000 3.474 0.000
0.000 0.000 17.629
Dy Hg Ir
5 1 4
Direct
0.000 0.000 0.000
0.000 0.000 0.191
0.000 0.000 0.380
0.000 0.000 0.620
0.000 0.000 0.809
0.500 0.500 0.500
0.500 0.500 0.096
0.500 0.500 0.290
0.500 0.500 0.710
0.500 0.500 0.904
```

* SG: P4/mmm
* formation energy from the elements: -73.8 kJ/mol of atoms

***

# BeFe

BeFe after structural relaxation (PBE, Alexandria via LeMat-Bulk).

Cell and atoms, written as POSCAR:
```
BeFe
1.0
6.232 0.000 0.000
-3.116 5.397 0.000
0.000 0.000 3.699
Be Fe
6 6
Direct
0.044 0.231 0.250
0.187 0.956 0.250
0.231 0.187 0.750
0.769 0.813 0.250
0.813 0.044 0.750
0.956 0.769 0.750
0.089 0.464 0.750
0.375 0.911 0.750
0.464 0.375 0.250
0.536 0.625 0.750
0.625 0.089 0.250
0.911 0.536 0.250
```

* SG: P6_3/m
* formation energy from the elements: 18.2 kJ/mol of atoms

***

# TcB2Ru

TcB2Ru after structural relaxation (PBE, Alexandria via LeMat-Bulk).

Cell and atoms, written as POSCAR:
```
TcB2Ru
1.0
0.000 2.717 2.717
2.717 0.000 2.717
2.717 2.717 0.000
Tc B Ru
1 2 1
Direct
0.000 0.000 0.000
0.250 0.250 0.250
0.750 0.750 0.750
0.500 0.500 0.500
```

* excess energy over the best structure of this formula in the dataset: 262 meV per atom
* SG: Fm-3m
* formation energy from the elements: 12.7 kJ/mol of atoms

***

# BeSbBr2

BeSbBr2 after structural relaxation (PBE, Alexandria via LeMat-Bulk).

Cell and atoms, written as POSCAR:
```
BeSbBr2
1.0
7.542 0.000 0.000
0.000 3.141 0.000
-2.454 0.000 7.154
Be Sb Br
1 1 2
Direct
0.000 0.000 0.000
0.500 0.000 0.500
0.130 0.500 0.871
0.870 0.500 0.129
```

* excess energy over the best structure of this formula in the dataset: 240 meV per atom
* SG: P2/m
* energy relative to the elements, uncorrected: -0.33 eV/f.u.

***

| no. | spin magnetization (μB/f.u.) |
| --- | --- |
| 1 | 0.0 |
| 2 | 0.0 |
| 3 | 0.0 |
| 4 | 0.7 |
| 5 | 0.2 |
| 6 | 1.9 |
| 7 | 0.0 |
| 8 | 0.0 |